Record 1
Computed, not measured: a PBEsol-optimized structure of BaBe2As at the meta-GGA SCAN level of DFT. Values from VASP.

The structure in Quantum ESPRESSO input format:
```
&SYSTEM
  ibrav = 0, nat = 4, ntyp = 3
/
ATOMIC_SPECIES
Ba 137.33 Ba.upf
Be 9.01 Be.upf
As 74.92 As.upf
CELL_PARAMETERS angstrom
4.404 0.000 0.000
0.000 4.404 0.000
0.000 0.000 4.350
ATOMIC_POSITIONS crystal
Ba 0.000 0.000 0.000
Be 0.000 0.500 0.500
Be 0.500 0.000 0.500
As 0.500 0.500 0.000
```

Calculated formation energy   662 meV/atom



Record 2
Computed, not measured: a PBEsol-optimized structure of BaBe2As2 at the meta-GGA SCAN level of DFT. Values from VASP.

The structure in Quantum ESPRESSO input format:
```
&SYSTEM
  ibrav = 0, nat = 5, ntyp = 3
/
ATOMIC_SPECIES
Ba 137.33 Ba.upf
Be 9.01 Be.upf
As 74.92 As.upf
CELL_PARAMETERS angstrom
-1.924 1.924 6.539
1.924 -1.924 6.539
1.924 1.924 -6.539
ATOMIC_POSITIONS crystal
Ba 0.000 0.000 0.000
Be 0.250 0.750 0.500
Be 0.750 0.250 0.500
As 0.350 0.350 0.000
As 0.650 0.650 0.000
```

Calculated formation energy   -734 meV/atom



Record 3
Computed, not measured: a PBEsol-optimized structure of Ba2BeAs at the meta-GGA SCAN level of DFT. Values from VASP.

The structure in Quantum ESPRESSO input format:
```
&SYSTEM
  ibrav = 0, nat = 8, ntyp = 3
/
ATOMIC_SPECIES
Ba 137.33 Ba.upf
Be 9.01 Be.upf
As 74.92 As.upf
CELL_PARAMETERS angstrom
-4.293 4.293 3.884
4.293 -4.293 3.884
4.293 4.293 -3.884
ATOMIC_POSITIONS crystal
Ba 0.113 0.625 0.988
Ba 0.375 0.363 0.488
Ba 0.637 0.125 0.012
Ba 0.875 0.887 0.512
Be 0.250 0.750 0.500
Be 0.500 0.500 0.000
As 0.000 0.000 0.000
As 0.750 0.250 0.500
```

Calculated formation energy   6 meV/atom



Record 4
Computed, not measured: a PBEsol-optimized structure of Ba2BeAsIr at the meta-GGA SCAN level of DFT. Values from VASP.

The structure in Quantum ESPRESSO input format:
```
&SYSTEM
  ibrav = 0, nat = 5, ntyp = 4
/
ATOMIC_SPECIES
Ba 137.33 Ba.upf
Be 9.01 Be.upf
As 74.92 As.upf
Ir 192.22 Ir.upf
CELL_PARAMETERS angstrom
6.188 0.000 0.000
0.000 6.188 0.000
0.000 0.000 4.481
ATOMIC_POSITIONS crystal
Ba 0.000 0.500 0.000
Ba 0.500 0.000 0.000
Be 0.000 0.000 0.500
As 0.500 0.500 0.000
Ir 0.500 0.500 0.500
```

Calculated formation energy   108 meV/atom



Record 5
Computed, not measured: a PBEsol-optimized structure of Ba2BiAs2 at the meta-GGA SCAN level of DFT. Values from VASP.

The structure in Quantum ESPRESSO input format:
```
&SYSTEM
  ibrav = 0, nat = 10, ntyp = 3
/
ATOMIC_SPECIES
Ba 137.33 Ba.upf
Bi 208.98 Bi.upf
As 74.92 As.upf
CELL_PARAMETERS angstrom
8.020 0.000 0.000
0.000 8.020 0.000
0.000 0.000 4.786
ATOMIC_POSITIONS crystal
Ba 0.181 0.319 0.000
Ba 0.319 0.819 0.000
Ba 0.681 0.181 0.000
Ba 0.819 0.681 0.000
Bi 0.000 0.000 0.500
Bi 0.500 0.500 0.500
As 0.112 0.612 0.500
As 0.388 0.112 0.500
As 0.612 0.888 0.500
As 0.888 0.388 0.500
```

Calculated formation energy   -942 meV/atom



Record 6
Computed, not measured: a PBEsol-optimized structure of BaBiAs2Br at the meta-GGA SCAN level of DFT. Values from VASP.

The structure in Quantum ESPRESSO input format:
```
&SYSTEM
  ibrav = 0, nat = 5, ntyp = 4
/
ATOMIC_SPECIES
Ba 137.33 Ba.upf
Bi 208.98 Bi.upf
As 74.92 As.upf
Br 79.90 Br.upf
CELL_PARAMETERS angstrom
5.741 0.000 0.000
0.000 5.741 0.000
0.000 0.000 5.726
ATOMIC_POSITIONS crystal
Ba 0.000 0.000 0.000
Bi 0.500 0.500 0.500
As 0.000 0.500 0.000
As 0.500 0.000 0.000
Br 0.000 0.000 0.500
```

E_form (uncorrected)   619 meV/atom



Record 7
Computed, not measured: a PBEsol-optimized structure of BaNaBiAs2 at the meta-GGA SCAN level of DFT. Values from VASP.

The structure in Quantum ESPRESSO input format:
```
&SYSTEM
  ibrav = 0, nat = 5, ntyp = 4
/
ATOMIC_SPECIES
Ba 137.33 Ba.upf
Na 22.99 Na.upf
Bi 208.98 Bi.upf
As 74.92 As.upf
CELL_PARAMETERS angstrom
5.585 0.000 0.000
0.000 5.585 0.000
0.000 0.000 6.253
ATOMIC_POSITIONS crystal
Ba 0.000 0.000 0.000
Na 0.500 0.500 0.000
Bi 0.000 0.000 0.500
As 0.000 0.500 0.500
As 0.500 0.000 0.500
```

Calculated formation energy   241 meV/atom



Record 8
Computed, not measured: a PBEsol-optimized structure of BaBiAsSe2 at the meta-GGA SCAN level of DFT. Values from VASP.

The structure in Quantum ESPRESSO input format:
```
&SYSTEM
  ibrav = 0, nat = 5, ntyp = 4
/
ATOMIC_SPECIES
Ba 137.33 Ba.upf
Bi 208.98 Bi.upf
As 74.92 As.upf
Se 78.96 Se.upf
CELL_PARAMETERS angstrom
5.506 0.000 0.000
0.000 5.506 0.000
0.000 0.000 5.351
ATOMIC_POSITIONS crystal
Ba 0.000 0.000 0.000
Bi 0.500 0.500 0.500
As 0.500 0.500 0.000
Se 0.000 0.500 0.500
Se 0.500 0.000 0.500
```

E_form (uncorrected)   -493 meV/atom



Record 9
Computed, not measured: a PBEsol-optimized structure of BaAs2Br at the meta-GGA SCAN level of DFT. Values from VASP.

The structure in Quantum ESPRESSO input format:
```
&SYSTEM
  ibrav = 0, nat = 4, ntyp = 3
/
ATOMIC_SPECIES
Ba 137.33 Ba.upf
As 74.92 As.upf
Br 79.90 Br.upf
CELL_PARAMETERS angstrom
2.782 -3.518 0.000
2.782 3.518 0.000
0.000 0.000 6.120
ATOMIC_POSITIONS crystal
Ba 0.000 0.000 0.000
As 0.500 0.500 0.309
As 0.500 0.500 0.691
Br 0.000 0.000 0.500
```

Energy relative to the lowest polymorph listed for this composition   349 meV per atom
E_form (uncorrected)   -391 meV/atom



Record 10
Computed, not measured: a PBEsol-optimized structure of BaAsBr2 at the meta-GGA SCAN level of DFT. Values from VASP.

The structure in Quantum ESPRESSO input format:
```
&SYSTEM
  ibrav = 0, nat = 4, ntyp = 3
/
ATOMIC_SPECIES
Ba 137.33 Ba.upf
As 74.92 As.upf
Br 79.90 Br.upf
CELL_PARAMETERS angstrom
4.995 0.000 0.000
0.000 4.995 0.000
0.000 0.000 4.378
ATOMIC_POSITIONS crystal
Ba 0.000 0.000 0.000
As 0.500 0.500 0.000
Br 0.000 0.500 0.500
Br 0.500 0.000 0.500
```

Energy relative to the lowest polymorph listed for this composition   120 meV per atom
E_form (uncorrected)   -975 meV/atom



Record 11
Computed, not measured: a PBEsol-optimized structure of BaAsBr2 at the meta-GGA SCAN level of DFT. Values from VASP.

The structure in Quantum ESPRESSO input format:
```
&SYSTEM
  ibrav = 0, nat = 4, ntyp = 3
/
ATOMIC_SPECIES
Ba 137.33 Ba.upf
As 74.92 As.upf
Br 79.90 Br.upf
CELL_PARAMETERS angstrom
0.000 3.927 3.927
3.927 0.000 3.927
3.927 3.927 0.000
ATOMIC_POSITIONS crystal
Ba 0.000 0.000 0.000
As 0.500 0.500 0.500
Br 0.250 0.250 0.250
Br 0.750 0.750 0.750
```

Energy relative to the lowest polymorph listed for this composition   0 meV per atom
E_form (uncorrected)   -1095 meV/atom



Record 12
Computed, not measured: a PBEsol-optimized structure of BaAsBr2 at the meta-GGA SCAN level of DFT. Values from VASP.

The structure in Quantum ESPRESSO input format:
```
&SYSTEM
  ibrav = 0, nat = 8, ntyp = 3
/
ATOMIC_SPECIES
Ba 137.33 Ba.upf
As 74.92 As.upf
Br 79.90 Br.upf
CELL_PARAMETERS angstrom
-2.577 2.577 9.851
2.577 -2.577 9.851
2.577 2.577 -9.851
ATOMIC_POSITIONS crystal
Ba 0.000 0.000 0.000
Ba 0.750 0.250 0.500
As 0.250 0.750 0.500
As 0.500 0.500 0.000
Br 0.169 0.625 0.044
Br 0.375 0.419 0.544
Br 0.581 0.125 0.956
Br 0.875 0.831 0.456
```

Energy relative to the lowest polymorph listed for this composition   152 meV per atom
E_form (uncorrected)   -942 meV/atom



Number 1: DFT total energy -65.80 eV per cell. Number 2: DFT total energy -92.31 eV per cell. Number 3: DFT total energy -207.24 eV per cell. Number 4: DFT total energy -174.21 eV per cell. Number 5: DFT total energy -405.54 eV per cell. Number 6: DFT total energy -174.87 eV per cell. Number 7: DFT total energy -161.52 eV per cell. Number 8: DFT total energy -180.94 eV per cell. Number 9: DFT total energy -100.95 eV per cell. Number 10: DFT total energy -102.56 eV per cell. Number 11: DFT total energy -103.04 eV per cell. Number 12: DFT total energy -204.86 eV per cell.